An optimized crystal structure of CaLa2In2Ag2. Source: Alexandria, functional PBE.

DOS at the Fermi energy ... 4.115 states/eV per cell
Calculated density ... 6.58 Mg/m³
Uncorrected energy ... -25.21 eV per cell
Energy relative to the elements ... -7.18 kcal/mol of atoms

The structure in CIF format:
```
data_CaLa2In2Ag2
_chemical_formula_sum 'Ca1 La2 In2 Ag2'
_space_group_name_H-M_alt 'P 1'
_space_group_IT_number 1
_cell_length_a 4.9128
_cell_length_b 4.9128
_cell_length_c 9.6357
_cell_angle_alpha 75.23
_cell_angle_beta 75.23
_cell_angle_gamma 60.00
loop_
_space_group_symop_operation_xyz
'x,y,z'
loop_
_atom_site_label
_atom_site_type_symbol
_atom_site_fract_x
_atom_site_fract_y
_atom_site_fract_z
Ca1 Ca 0.0000 0.0000 0.0000
La1 La 0.1307 0.1307 0.6080
La2 La 0.8693 0.8693 0.3920
In1 In 0.7365 0.7365 0.7904
In2 In 0.2635 0.2635 0.2096
Ag1 Ag 0.6006 0.6006 0.1982
Ag2 Ag 0.3994 0.3994 0.8018
```